A) NdThCuAu | GGA-PBE | relaxed

Total moment ... 0.00 μB/f.u.

Cell: 5.1819 5.1819 5.1819 Å, 60.00 60.00 60.00°
Positions (direct):
1 Nd 0.5000 0.5000 0.5000
2 Au 0.7500 0.7500 0.7500
3 Cu 0.2500 0.2500 0.2500
4 Th 0.0000 0.0000 0.0000


B) NdThCuAu | GGA-PBE | relaxed

Total moment ... 0.00 μB/f.u.

Cell: 3.9058 4.5553 5.9603 Å, 90.00 109.13 90.00°
Positions (direct):
1 Nd 0.1467 0.0000 0.2933
2 Th 0.8594 0.5000 0.7189
3 Cu 0.4200 0.0000 0.8399
4 Au 0.5739 0.5000 0.1479


Stability check: which of them is least stable? A).


A) NdTmCuAu | GGA-PBE | relaxed

Total moment ... 0.00 μB/f.u.

Cell: 5.0729 5.0729 5.0729 Å, 60.00 60.00 60.00°
Positions (direct):
1 Nd 0.5000 0.5000 0.5000
2 Tm 0.0000 0.0000 0.0000
3 Au 0.2500 0.2500 0.2500
4 Cu 0.7500 0.7500 0.7500


B) NdTmCuAu | GGA-PBE | relaxed

Total moment ... 0.00 μB/f.u.

Cell: 3.7916 4.5422 5.8226 Å, 90.00 109.00 90.00°
Positions (direct):
1 Nd 0.8588 0.5000 0.7176
2 Tm 0.1378 0.0000 0.2756
3 Cu 0.4231 0.0000 0.8461
4 Au 0.5803 0.5000 0.1606


Stability check: which of them is least stable? A).


A) CuNiAu | GGA-PBE | relaxed

Total moment ... 0.00 μB/f.u.

Cell: 4.2054 4.2054 2.6904 Å, 90.00 90.00 120.00°
Positions (direct):
1 Cu 0.6667 0.3333 0.2748
2 Ni 0.0000 0.0000 0.1357
3 Au 0.3333 0.6667 0.7000


B) CuNiAu | GGA-PBE | relaxed

Total moment ... 0.18 μB/f.u.

Cell: 2.7517 2.7517 6.3849 Å, 90.00 90.00 120.00°
Each line ends with the local moment (μB).
Positions (direct):
1 Ni 0.3333 0.6667 0.6510  0.22
2 Au 0.0000 0.0000 0.9978  -0.01
3 Cu 0.6667 0.3333 0.3512  -0.01


C) CuNiAu | GGA-PBE | relaxed

Total moment ... 0.00 μB/f.u.

Cell: 6.1059 6.1059 8.6589 Å, 148.56 148.56 34.08°
Positions (direct):
1 Ni 0.9086 0.9086 0.7343
2 Ni 0.0914 0.0914 0.2657
3 Cu 0.5848 0.5848 0.7613
4 Cu 0.4152 0.4152 0.2387
5 Au 0.2507 0.2507 0.7502
6 Au 0.7493 0.7493 0.2498


Stability check: which of them is least stable? B).


A) CuNiAu | GGA-PBE | relaxed

Total moment ... 0.00 μB/f.u.

Cell: 4.6926 4.6926 4.6926 Å, 145.75 134.73 57.97°
Positions (direct):
1 Ni 0.3254 0.3254 0.0000
2 Au 0.9992 0.9992 0.0000
3 Cu 0.6754 0.6754 0.0000


B) CuNiAu | GGA-PBE | relaxed

Total moment ... 0.00 μB/f.u.

Cell: 4.0650 4.0650 4.0650 Å, 60.00 60.00 60.00°
Positions (direct):
1 Au 0.0000 0.0000 0.0000
2 Cu 0.5000 0.5000 0.5000
3 Ni 0.7500 0.7500 0.7500


Stability check: which of them is least stable? B).


A) Cu2NiAu2 | GGA-PBE | relaxed

Total moment ... 0.00 μB/f.u.

Cell: 3.8043 4.7714 4.6940 Å, 81.53 66.09 66.51°
Positions (direct):
1 Cu 0.1055 0.0965 0.1924
2 Cu 0.8945 0.9035 0.8076
3 Ni 0.5000 0.5000 0.0000
4 Au 0.7084 0.7012 0.3821
5 Au 0.2916 0.2988 0.6179


B) Cu2NiAu2 | GGA-PBE | relaxed

Total moment ... 0.00 μB/f.u.

Cell: 6.8454 6.8454 3.3181 Å, 90.00 90.00 90.00°
Positions (direct):
1 Ni 0.0000 0.0000 0.0000
2 Ni 0.5000 0.5000 0.0000
3 Au 0.3537 0.8537 0.0000
4 Au 0.8537 0.6463 0.0000
5 Au 0.6463 0.1463 0.0000
6 Au 0.1463 0.3537 0.0000
7 Cu 0.1545 0.6545 0.5000
8 Cu 0.6545 0.8455 0.5000
9 Cu 0.8455 0.3455 0.5000
10 Cu 0.3455 0.1545 0.5000


C) Cu2NiAu2 | GGA-PBE | relaxed

Total moment ... 0.00 μB/f.u.

Cell: 6.2832 6.2832 3.7514 Å, 90.00 90.00 90.00°
Positions (direct):
1 Ni 0.0000 0.0000 0.0000
2 Ni 0.5000 0.5000 0.0000
3 Au 0.1716 0.6716 0.5000
4 Au 0.6716 0.8284 0.5000
5 Au 0.8284 0.3284 0.5000
6 Au 0.3284 0.1716 0.5000
7 Cu 0.3664 0.8664 0.0000
8 Cu 0.8664 0.6336 0.0000
9 Cu 0.6336 0.1336 0.0000
10 Cu 0.1336 0.3664 0.0000


Stability check: which of them is least stable? B).


A) CuNiAu4 | GGA-PBE | relaxed

Total moment ... 0.67 μB/f.u.

Cell: 5.3988 5.3988 5.3988 Å, 60.00 60.00 60.00°
Each line ends with the local moment (μB).
Positions (direct):
1 Cu 0.2500 0.2500 0.2500  0.01
2 Ni 0.0000 0.0000 0.0000  0.65
3 Au 0.6250 0.6250 0.1250  0.01
4 Au 0.6250 0.1250 0.6250  0.01
5 Au 0.6250 0.6250 0.6250  0.01
6 Au 0.1250 0.6250 0.6250  0.01


B) CuNiAu4 | GGA-PBE | relaxed

Total moment ... 0.00 μB/f.u.

Cell: 2.8929 4.9971 7.3045 Å, 69.89 78.10 90.09°
Positions (direct):
1 Cu 0.5000 0.5000 0.0000
2 Ni 0.0000 0.0000 0.0000
3 Au 0.8414 0.5097 0.3140
4 Au 0.6585 0.9915 0.6868
5 Au 0.3415 0.0085 0.3132
6 Au 0.1586 0.4903 0.6861


Stability check: which of them is least stable? A).


A) Cu4NiAu2 | GGA-PBE | relaxed

Total moment ... 0.00 μB/f.u.

Cell: 6.1962 6.1962 5.1553 Å, 126.87 126.88 90.08°
Positions (direct):
1 Cu 0.7031 0.2975 0.0005
2 Cu 0.2970 0.7026 0.9996
3 Cu 0.2974 0.2974 0.0000
4 Cu 0.7026 0.7026 0.0000
5 Ni 0.9998 0.9998 0.9997
6 Au 0.7499 0.2499 0.5000
7 Au 0.2501 0.7502 0.5000


B) Cu4NiAu2 | GGA-PBE | relaxed

Total moment ... 0.00 μB/f.u.

Cell: 5.2053 5.2053 5.2904 Å, 119.46 119.46 90.28°
Positions (direct):
1 Cu 0.7858 0.7858 0.0715
2 Cu 0.2856 0.2856 0.0711
3 Cu 0.7856 0.2857 0.0713
4 Cu 0.2857 0.7856 0.0713
5 Ni 0.7860 0.7860 0.5720
6 Au 0.2857 0.7855 0.5714
7 Au 0.7855 0.2857 0.5714


Stability check: which of them is least stable? A).


A) Cu8Ni2Au | GGA-PBE | relaxed

Total moment ... 0.00 μB/f.u.

Cell: 4.4034 6.6425 7.2242 Å, 62.63 72.40 48.88°
Positions (direct):
1 Cu 0.7583 0.1001 0.2818
2 Cu 0.7583 0.3819 0.7182
3 Cu 0.2466 0.5011 0.0000
4 Cu 0.5000 0.8012 0.3976
5 Cu 0.5000 0.1988 0.6024
6 Cu 0.7534 0.4989 0.0000
7 Cu 0.2417 0.6181 0.2818
8 Cu 0.2417 0.8999 0.7182
9 Ni 0.0000 0.3195 0.3611
10 Ni 0.0000 0.6805 0.6389
11 Au 0.5000 0.0000 0.0000


B) Cu8Ni2Au | GGA-PBE | relaxed

Total moment ... 0.00 μB/f.u.

Cell: 3.6405 5.8231 6.8600 Å, 75.20 105.39 90.00°
Positions (direct):
1 Cu 0.4043 0.4653 0.8087
2 Cu 0.6862 0.0899 0.3723
3 Cu 0.8569 0.1962 0.7139
4 Cu 0.9502 0.7174 0.9005
5 Cu 0.1431 0.8038 0.2861
6 Cu 0.3138 0.9101 0.6277
7 Cu 0.5957 0.5347 0.1913
8 Cu 0.0498 0.2826 0.0995
9 Ni 0.7715 0.6342 0.5429
10 Ni 0.2285 0.3658 0.4571
11 Au 0.5000 0.0000 0.0000


Stability check: which of them is least stable? A).